# La2ZrSb PBE optimized geometry
data_La2ZrSb
_chemical_formula_sum 'La4 Zr2 Sb2'
_cell_length_a 6.753
_cell_length_b 9.522
_cell_length_c 3.526
_cell_angle_alpha 90.00
_cell_angle_beta 90.00
_cell_angle_gamma 90.00
_space_group_name_H-M_alt 'C m m m'
_space_group_IT_number 65
_space_group_name_Hall '-C 2 2'
loop_
_atom_site_label
_atom_site_type_symbol
_atom_site_fract_x
_atom_site_fract_y
_atom_site_fract_z
_atom_site_occupancy
La1 La 0.250 0.250 0.000 1
Zr1 Zr 0.000 0.000 0.500 1
Sb1 Sb 0.000 0.500 0.500 1
# **Formation energy without anion corrections**: -0.39 eV/atom
# **VASP energy**: -6.0230 eV per atom
# **Magnetic moment**: 0.0 μB/f.u.